## Na2CoO3 (GGA+U)

Data for a relaxed Na2CoO3 crystal.

Structure (POSCAR):
```
Na2CoO3
1.0
-4.401 2.536 1.433
-0.018 -1.411 -5.297
-0.588 -4.999 2.944
Na Co O
4 2 6
direct
0.500 0.500 0.500 Na
0.000 0.000 0.000 Na
0.846 0.165 0.481 Na
0.154 0.835 0.519 Na
0.306 0.639 0.026 Co
0.694 0.361 0.974 Co
0.318 0.334 0.795 O
0.682 0.666 0.205 O
0.390 0.979 0.219 O
0.044 0.428 0.201 O
0.610 0.021 0.781 O
0.956 0.572 0.799 O
```

## Properties
The calculation puts the total energy at -4.94 eV/atom. The space group is P-1, No. 2.